Entry from the Alexandria database: BiPd2Au4 after structural relaxation (PBE).

Crystal system ... tetragonal
ΔE_f ... 0.007 eV/atom

Unit cell a=7.947 b=7.947 c=4.412 alpha=90.00 beta=90.00 gamma=90.00
Space group P4_2/mnm (No. 136)
Symmetry-distinct sites (fractional):
Bi 0.000 0.000 0.000
Pd 0.159 0.159 0.500
Au 0.121 0.627 0.500

Entry from the Alexandria database: ZrAl3Os after structural relaxation (PBE).

Relative energy among the computed polymorphs ... 1747 meV per atom
Crystal system ... cubic
ΔE_f ... 1.905 eV/atom

Unit cell a=4.859 b=4.859 c=4.859 alpha=90.00 beta=90.00 gamma=90.00
Space group Pm-3m (No. 221)
Symmetry-distinct sites (fractional):
Zr 0.000 0.000 0.000
Al 0.000 0.000 0.500
Os 0.500 0.500 0.500

Entry from the Alexandria database: CaBrCl2 after structural relaxation (PBE).

Relative energy among the computed polymorphs ... 360 meV per atom
Formation energy from raw total energies ... -1.275 eV per atom
Crystal system ... orthorhombic

Unit cell a=4.195 b=4.264 c=5.434 alpha=90.00 beta=90.00 gamma=90.00
Space group Pmmm (No. 47)
Symmetry-distinct sites (fractional):
Ca 0.000 0.000 0.000
Br 0.500 0.000 0.500
Cl 0.000 0.500 0.500
Cl 0.500 0.500 0.000

Entry from the Alexandria database: Ce2Sm2Si4Pd after structural relaxation (PBE).

Formation energy from raw total energies ... -0.366 eV per atom
Crystal system ... tetragonal

Unit cell a=7.090 b=7.090 c=8.275 alpha=90.00 beta=90.00 gamma=90.00
Space group I4/mmm (No. 139)
Symmetry-distinct sites (fractional):
Ce 0.000 0.000 0.163
Sm 0.000 0.500 0.250
Si 0.240 0.240 0.500
Pd 0.000 0.000 0.500

Entry from the Alexandria database: La8Co2Pd after structural relaxation (PBE).

Crystal system ... monoclinic
ΔE_f ... -0.133 eV/atom

Unit cell a=7.964 b=13.386 c=6.561 alpha=90.00 beta=109.47 gamma=90.00
Space group Cm (No. 8)
Symmetry-distinct sites (fractional):
La 0.000 0.000 0.000
La 0.078 0.363 0.816
La 0.120 0.139 0.584
La 0.201 0.500 0.394
La 0.329 0.208 0.197
Co 0.357 0.314 0.702
Pd 0.352 0.000 0.420

Entry from the Alexandria database: Nd5ErTm4 after structural relaxation (PBE).

Relative energy among the computed polymorphs ... 3 meV per atom
Crystal system ... triclinic
ΔE_f ... 0.022 eV/atom

Unit cell a=3.587 b=9.447 c=10.163 alpha=105.92 beta=90.00 gamma=100.70
Space group P-1 (No. 2)
Symmetry-distinct sites (fractional):
Nd 0.000 0.000 0.000
Nd 0.201 0.401 0.101
Nd 0.399 0.800 0.694
Er 0.000 0.000 0.500
Tm 0.200 0.399 0.600
Tm 0.398 0.798 0.205

Entry from the Alexandria database: Pr4Ga3Si after structural relaxation (PBE).

Formation energy from raw total energies ... -0.632 eV per atom
Crystal system ... orthorhombic

Unit cell a=4.111 b=4.502 c=11.430 alpha=90.00 beta=90.00 gamma=90.00
Space group Pmm2 (No. 25)
Symmetry-distinct sites (fractional):
Pr 0.000 0.000 0.000
Pr 0.000 0.500 0.494
Pr 0.500 0.000 0.714
Pr 0.500 0.500 0.215
Ga 0.000 0.500 0.784
Ga 0.500 0.000 0.423
Ga 0.500 0.500 0.928
Si 0.000 0.000 0.285

Entry from the Alexandria database: Ca3ScCl after structural relaxation (PBE).

Relative energy among the computed polymorphs ... 0 meV per atom
Formation energy from raw total energies ... -0.340 eV per atom
Crystal system ... cubic

Unit cell a=5.511 b=5.511 c=5.511 alpha=90.00 beta=90.00 gamma=90.00
Space group Pm-3m (No. 221)
Symmetry-distinct sites (fractional):
Ca 0.000 0.000 0.500
Sc 0.500 0.500 0.500
Cl 0.000 0.000 0.000

Entry from the Alexandria database: PrGdZnOs after structural relaxation (PBE).

Crystal system ... cubic
ΔE_f ... -0.139 eV/atom

Unit cell a=7.125 b=7.125 c=7.125 alpha=90.00 beta=90.00 gamma=90.00
Space group F-43m (No. 216)
Symmetry-distinct sites (fractional):
Pr 0.000 0.000 0.000
Gd 0.000 0.000 0.500
Zn 0.250 0.250 0.750
Os 0.250 0.250 0.250

Entry from the Alexandria database: NdY3Zn after structural relaxation (PBE).

Relative energy among the computed polymorphs ... 0 meV per atom
Crystal system ... monoclinic
ΔE_f ... -0.049 eV/atom

Unit cell a=26.667 b=3.670 c=6.339 alpha=90.00 beta=101.45 gamma=90.00
Space group C2/m (No. 12)
Symmetry-distinct sites (fractional):
Nd 0.229 0.000 0.225
Y 0.011 0.000 0.767
Y 0.106 0.500 0.121
Y 0.150 0.000 0.677
Zn 0.064 0.500 0.534

Entry from the Alexandria database: YMoBr after structural relaxation (PBE).

Relative energy among the computed polymorphs ... 833 meV per atom
Formation energy from raw total energies ... 1.022 eV per atom
Crystal system ... cubic

Unit cell a=7.103 b=7.103 c=7.103 alpha=90.00 beta=90.00 gamma=90.00
Space group F-43m (No. 216)
Symmetry-distinct sites (fractional):
Y 0.000 0.000 0.000
Mo 0.250 0.250 0.250
Br 0.250 0.250 0.750

Entry from the Alexandria database: TmNpPtO6 after structural relaxation (PBE).

Formation energy from raw total energies ... -2.147 eV per atom
Crystal system ... trigonal

Unit cell a=5.5865 b=5.5865 c=8.6603 alpha=90.00 beta=90.00 gamma=120.00
Space group P-31c (No. 163)
Symmetry-distinct sites (fractional):
Tm 0.3333 0.6667 0.2500
Np 0.3333 0.6667 0.7500
Pt 0.0000 0.0000 0.0000
O 0.0182 0.3350 0.6241

Entry from the Alexandria database: Tb2FeP4Ir3 after structural relaxation (PBE).

Crystal system ... tetragonal
ΔE_f ... -0.950 eV/atom

Unit cell a=4.110 b=4.110 c=9.448 alpha=90.00 beta=90.00 gamma=90.00
Space group P-4m2 (No. 115)
Symmetry-distinct sites (fractional):
Tb 0.000 0.500 0.245
Fe 0.000 0.000 0.500
P 0.000 0.000 0.000
P 0.000 0.500 0.630
P 0.500 0.500 0.000
Ir 0.000 0.500 0.882
Ir 0.500 0.500 0.500

Entry from the Alexandria database: Na4H2O after structural relaxation (PBE).

Total energy ... -3.02 eV/atom
Crystal system ... orthorhombic

Unit cell a=5.893 b=10.624 c=3.547 alpha=90.00 beta=90.00 gamma=90.00
Space group Pbam (No. 55)
Symmetry-distinct sites (fractional):
Na 0.176 0.190 0.000
Na 0.227 0.950 0.500
H 0.040 0.683 0.500
O 0.000 0.000 0.000

Entry from the Alexandria database: Re2Ru after structural relaxation (PBE).

Relative energy among the computed polymorphs ... 366 meV per atom
Crystal system ... tetragonal
ΔE_f ... 0.301 eV/atom

Unit cell a=2.734 b=2.734 c=24.471 alpha=90.00 beta=90.00 gamma=90.00
Space group I4_1/amd (No. 141, origin choice 2)
Symmetry-distinct sites (fractional):
Re 0.000 0.250 0.297
Ru 0.000 0.250 0.875

Entry from the Alexandria database: Th3Fe2Co7 after structural relaxation (PBE).

Crystal system ... trigonal
ΔE_f ... -0.172 eV/atom

Unit cell a=5.0784 b=5.0784 c=24.4667 alpha=90.00 beta=90.00 gamma=120.00
Space group R-3m (No. 166, hexagonal axes)
Symmetry-distinct sites (fractional):
Th 0.0000 0.0000 0.0000
Th 0.0000 0.0000 0.1388
Fe 0.0000 0.0000 0.3339
Co 0.0000 0.0000 0.5000
Co 0.0001 0.5001 0.0812

Entry from the Alexandria database: ZrScPbBr after structural relaxation (PBE).

Relative energy among the computed polymorphs ... 44 meV per atom
Formation energy from raw total energies ... -0.471 eV per atom
Crystal system ... orthorhombic

Unit cell a=3.546 b=3.872 c=7.352 alpha=90.00 beta=90.00 gamma=90.00
Space group Pmm2 (No. 25)
Symmetry-distinct sites (fractional):
Zr 0.000 0.000 0.000
Sc 0.500 0.500 0.756
Pb 0.500 0.500 0.216
Br 0.000 0.000 0.608

Entry from the Alexandria database: Tc2BRu after structural relaxation (PBE).

Relative energy among the computed polymorphs ... 78 meV per atom
Crystal system ... orthorhombic
ΔE_f ... -0.144 eV/atom

Unit cell a=2.873 b=7.496 c=4.647 alpha=90.00 beta=90.00 gamma=90.00
Space group Pmmn (No. 59, origin choice 2)
Symmetry-distinct sites (fractional):
Tc 0.250 0.055 0.233
B 0.250 0.750 0.571
Ru 0.250 0.250 0.760

Entry from the Alexandria database: Cd2ReSn after structural relaxation (PBE).

Crystal system ... trigonal
ΔE_f ... 0.730 eV/atom

Unit cell a=2.9218 b=2.9218 c=34.9199 alpha=90.00 beta=90.00 gamma=120.00
Space group R-3m (No. 166, hexagonal axes)
Symmetry-distinct sites (fractional):
Cd 0.0000 0.0000 0.0812
Re 0.0000 0.0000 0.0000
Sn 0.0000 0.0000 0.5000

Entry from the Alexandria database: ErMgZnHg after structural relaxation (PBE).

Crystal system ... cubic
ΔE_f ... -0.373 eV/atom

Unit cell a=6.981 b=6.981 c=6.981 alpha=90.00 beta=90.00 gamma=90.00
Space group F-43m (No. 216)
Symmetry-distinct sites (fractional):
Er 0.000 0.000 0.000
Mg 0.000 0.000 0.500
Zn 0.250 0.250 0.250
Hg 0.250 0.250 0.750

Number 1: spin magnetization 0.00 μB per cell. Number 2: spin magnetization 0.00 μB per cell. Number 3: spin magnetization 0.00 μB per cell. Number 4: spin magnetization 3.65 μB per cell. Number 5: spin magnetization 0.00 μB per cell. Number 6: spin magnetization 0.00 μB per cell. Number 7: spin magnetization 0.28 μB per cell. Number 8: spin magnetization 2.06 μB per cell. Number 9: spin magnetization 28.26 μB per cell. Number 10: spin magnetization 0.00 μB per cell. Number 11: spin magnetization 15.98 μB per cell. Number 12: spin magnetization 4.03 μB per cell. Number 13: spin magnetization 0.00 μB per cell. Number 14: spin magnetization 0.00 μB per cell. Number 15: spin magnetization 0.00 μB per cell. Number 16: spin magnetization 29.43 μB per cell. Number 17: spin magnetization 0.00 μB per cell. Number 18: spin magnetization 0.00 μB per cell. Number 19: spin magnetization 0.00 μB per cell. Number 20: spin magnetization 0.00 μB per cell.